# 1
{
  "formula": "LiSiB3",
  "functional": "GGA-PBE",
  "state": "relaxed",
  "polymorph_energy_mev_per_atom": 0,
  "total_magnetization_mub_per_fu": 0.000,
  "spacegroup": "Pm-3m, No. 221",
  "volume_a3_per_cell": 64.1,
  "cell": [[4.002, 0.000, 0.000], [0.000, 4.002, 0.000], [0.000, 0.000, 4.002]],
  "species": ["B", "B", "B", "Li", "Si"],
  "frac_coords": [[0.000, 0.000, 0.500], [0.000, 0.500, 0.000], [0.500, 0.000, 0.000], [0.500, 0.500, 0.500], [0.000, 0.000, 0.000]]
}

=====

# 2
{
  "formula": "Nd2HoAl2Zn2",
  "functional": "GGA-PBE",
  "state": "relaxed",
  "total_magnetization_mub_per_fu": 0.000,
  "e_form_ev_per_atom": -0.317,
  "spacegroup": "R-3m, No. 166",
  "volume_a3_per_cell": 166.2,
  "cell": [[4.522, 0.000, 0.000], [2.261, 3.916, 0.000], [2.261, 1.305, 9.384]],
  "species": ["Ho", "Al", "Al", "Zn", "Zn", "Nd", "Nd"],
  "frac_coords": [[0.000, 0.000, 0.000], [0.270, 0.270, 0.189], [0.730, 0.730, 0.811], [0.391, 0.391, 0.827], [0.609, 0.609, 0.173], [0.874, 0.874, 0.377], [0.126, 0.126, 0.623]]
}

=====

# 3
{
  "formula": "Li10CaAg2",
  "functional": "GGA-PBE",
  "state": "relaxed",
  "total_magnetization_mub_per_fu": 0.000,
  "e_form_ev_per_atom": -0.072,
  "spacegroup": "Fmmm, No. 69",
  "volume_a3_per_cell": 265.8,
  "cell": [[1.953, 5.132, 1.528], [0.156, 0.965, 7.188], [7.487, 0.029, 0.964]],
  "species": ["Li", "Li", "Li", "Li", "Li", "Li", "Li", "Li", "Li", "Li", "Ag", "Ag", "Ca"],
  "frac_coords": [[0.353, 0.633, 0.661], [0.000, 0.000, 0.500], [0.492, 0.225, 0.790], [0.508, 0.775, 0.210], [0.647, 0.367, 0.339], [0.717, 0.775, 0.790], [0.014, 0.633, 0.339], [0.986, 0.367, 0.661], [0.500, 0.000, 0.500], [0.283, 0.225, 0.210], [0.500, 0.500, 0.000], [0.000, 0.500, 0.000], [0.000, 0.000, 0.000]]
}